Record 1
# TbPm2Tm

Crystalline TbPm2Tm at its relaxed geometry (PBE, Alexandria via LeMat-Bulk).

Total magnetization in μB per cell: 0.00
Symmetry: No. 123
Crystal system: tetragonal
Distance to the lowest polymorph of the same formula in eV/atom: 0.004
Energy of formation in meV/atom: 19

Unit cell a=5.036 b=5.088 c=5.088 alpha=90.00 beta=90.00 gamma=90.00
Fractional positions:
Tb 0.500 0.500 0.500
Pm 0.000 0.500 0.000
Pm 0.000 0.000 0.500
Tm 0.500 0.000 0.000

Record 2
# Tb6Pm3Tm2

Crystalline Tb6Pm3Tm2 at its relaxed geometry (PBE, Alexandria via LeMat-Bulk).

Total magnetization in μB per cell: 0.00
Symmetry: No. 139
Crystal system: tetragonal
Energy of formation in meV/atom: 279

Unit cell a=4.756 b=4.756 c=16.947 alpha=98.07 beta=98.07 gamma=90.00
Fractional positions:
Tm 0.546 0.546 0.092
Tm 0.454 0.454 0.908
Pm 0.202 0.202 0.403
Pm 0.798 0.798 0.597
Pm 0.000 0.000 0.000
Tb 0.694 0.694 0.389
Tb 0.120 0.620 0.240
Tb 0.620 0.120 0.240
Tb 0.306 0.306 0.611
Tb 0.380 0.880 0.760
Tb 0.880 0.380 0.760

Record 3
# Tb9Pm11Tm4

Crystalline Tb9Pm11Tm4 at its relaxed geometry (PBE, Alexandria via LeMat-Bulk).

Total magnetization in μB per cell: 0.00
Symmetry: No. 65
Crystal system: orthorhombic
Energy of formation in meV/atom: 53

Unit cell a=3.644 b=15.405 c=15.405 alpha=113.27 beta=90.00 gamma=90.00
Fractional positions:
Tb 0.500 0.786 0.932
Tb 0.500 0.500 0.500
Tb 0.500 0.166 0.629
Tb 0.500 0.932 0.786
Tb 0.500 0.629 0.166
Tb 0.500 0.371 0.834
Tb 0.500 0.214 0.068
Tb 0.500 0.068 0.214
Tb 0.500 0.834 0.371
Pm 0.000 0.161 0.839
Pm 0.000 0.369 0.631
Pm 0.000 0.293 0.293
Pm 0.000 0.043 0.405
Pm 0.000 0.595 0.957
Pm 0.000 0.839 0.161
Pm 0.000 0.631 0.369
Pm 0.000 0.707 0.707
Pm 0.000 0.000 0.000
Pm 0.000 0.957 0.595
Pm 0.000 0.405 0.043
Tm 0.500 0.556 0.759
Tm 0.500 0.241 0.444
Tm 0.500 0.759 0.556
Tm 0.500 0.444 0.241

Record 4
# Tb3Pm5Tm

Crystalline Tb3Pm5Tm at its relaxed geometry (PBE, Alexandria via LeMat-Bulk).

Total magnetization in μB per cell: 0.00
Symmetry: No. 15
Crystal system: monoclinic
Distance to the lowest polymorph of the same formula in eV/atom: 0.000
Energy of formation in meV/atom: 167

Unit cell a=6.754 b=12.140 c=11.603 alpha=136.08 beta=90.00 gamma=106.15
Fractional positions:
Pm 0.263 0.344 0.997
Pm 0.081 0.344 0.497
Pm 0.610 0.219 0.669
Pm 0.919 0.656 0.503
Pm 0.390 0.781 0.831
Pm 0.390 0.781 0.331
Pm 0.610 0.219 0.169
Pm 0.687 0.000 0.250
Pm 0.313 0.000 0.750
Pm 0.737 0.656 0.003
Tb 0.000 0.000 0.000
Tb 0.640 0.478 0.606
Tb 0.163 0.522 0.894
Tb 0.360 0.522 0.394
Tb 0.837 0.478 0.106
Tb 0.000 0.000 0.500
Tm 0.237 0.000 0.250
Tm 0.763 0.000 0.750

Record 5
# Tb3Pm3Tm4

Crystalline Tb3Pm3Tm4 at its relaxed geometry (PBE, Alexandria via LeMat-Bulk).

Total magnetization in μB per cell: 0.00
Symmetry: No. 38
Crystal system: orthorhombic
Energy of formation in meV/atom: 91

Unit cell a=3.654 b=9.428 c=9.428 alpha=90.15 beta=90.00 gamma=90.00
Fractional positions:
Tb 0.500 0.174 0.826
Tb 0.000 0.001 0.503
Tb 0.000 0.497 0.999
Tm 0.000 0.375 0.625
Tm 0.000 0.624 0.376
Tm 0.000 0.878 0.875
Tm 0.000 0.125 0.122
Pm 0.500 0.674 0.675
Pm 0.500 0.826 0.174
Pm 0.500 0.325 0.326

Record 6
# Tb6Pm6Tm

Crystalline Tb6Pm6Tm at its relaxed geometry (PBE, Alexandria via LeMat-Bulk).

Total magnetization in μB per cell: 0.00
Symmetry: No. 191
Crystal system: hexagonal
Energy of formation in meV/atom: 289

Unit cell a=6.727 b=6.727 c=11.390 alpha=90.00 beta=90.00 gamma=120.00
Fractional positions:
Pm 0.000 0.000 0.345
Pm 0.000 0.000 0.655
Pm 0.333 0.667 0.500
Pm 0.667 0.333 0.000
Pm 0.667 0.333 0.500
Pm 0.333 0.667 0.000
Tb 0.500 0.000 0.247
Tb 0.500 0.500 0.247
Tb 0.500 0.000 0.753
Tb 0.000 0.500 0.247
Tb 0.000 0.500 0.753
Tb 0.500 0.500 0.753
Tm 0.000 0.000 0.000

Record 7
# Tb4Pm2Tm

Crystalline Tb4Pm2Tm at its relaxed geometry (PBE, Alexandria via LeMat-Bulk).

Total magnetization in μB per cell: 0.00
Symmetry: No. 11
Crystal system: monoclinic
Distance to the lowest polymorph of the same formula in eV/atom: 0.000
Energy of formation in meV/atom: 133

Unit cell a=6.125 b=6.612 c=11.578 alpha=90.00 beta=103.81 gamma=90.00
Fractional positions:
Pm 0.397 0.250 0.007
Pm 0.287 0.250 0.425
Pm 0.713 0.750 0.575
Pm 0.603 0.750 0.993
Tb 0.350 0.008 0.713
Tb 0.650 0.508 0.287
Tb 0.350 0.492 0.713
Tb 0.028 0.750 0.859
Tb 0.150 0.750 0.446
Tb 0.650 0.992 0.287
Tb 0.850 0.250 0.554
Tb 0.972 0.250 0.141
Tm 0.855 0.250 0.840
Tm 0.145 0.750 0.160

Record 8
# Tb3Pm2Tm3

Crystalline Tb3Pm2Tm3 at its relaxed geometry (PBE, Alexandria via LeMat-Bulk).

Total magnetization in μB per cell: 0.00
Symmetry: No. 71
Crystal system: orthorhombic
Distance to the lowest polymorph of the same formula in eV/atom: 0.000
Energy of formation in meV/atom: 22

Unit cell a=5.031 b=5.036 c=10.646 alpha=103.68 beta=103.67 gamma=90.00
Fractional positions:
Pm 0.750 0.250 0.500
Pm 0.250 0.750 0.500
Tb 0.623 0.623 0.246
Tb 0.377 0.377 0.754
Tb 0.500 0.000 0.000
Tm 0.877 0.877 0.753
Tm 0.000 0.500 0.000
Tm 0.123 0.123 0.247

Record 9
# TbPm2Tm5

Crystalline TbPm2Tm5 at its relaxed geometry (PBE, Alexandria via LeMat-Bulk).

Total magnetization in μB per cell: 0.00
Symmetry: No. 55
Crystal system: orthorhombic
Distance to the lowest polymorph of the same formula in eV/atom: 0.000
Energy of formation in meV/atom: 23

Unit cell a=4.997 b=7.074 c=14.150 alpha=90.00 beta=90.00 gamma=90.00
Fractional positions:
Tm 0.000 0.502 0.750
Tm 0.000 0.498 0.250
Tm 0.500 0.249 0.375
Tm 0.500 0.251 0.875
Tm 0.000 0.000 0.000
Tm 0.000 0.002 0.750
Tm 0.500 0.751 0.625
Tm 0.500 0.749 0.125
Tm 0.000 0.500 0.500
Tm 0.000 0.998 0.250
Pm 0.500 0.748 0.374
Pm 0.500 0.252 0.626
Pm 0.500 0.752 0.874
Pm 0.500 0.248 0.126
Tb 0.000 0.500 0.000
Tb 0.000 0.000 0.500

Record 10
# Tb9Pm2Tm3

Crystalline Tb9Pm2Tm3 at its relaxed geometry (PBE, Alexandria via LeMat-Bulk).

Total magnetization in μB per cell: 0.00
Symmetry: No. 2
Crystal system: triclinic
Energy of formation in meV/atom: 120

Unit cell a=6.198 b=13.482 c=10.514 alpha=40.44 beta=56.46 gamma=55.18
Fractional positions:
Tb 0.261 0.081 0.169
Tb 0.805 0.898 0.485
Tb 0.399 0.696 0.991
Tb 0.012 0.494 0.841
Tb 0.000 0.500 0.500
Tb 0.739 0.919 0.831
Tb 0.601 0.304 0.009
Tb 0.988 0.506 0.159
Tb 0.195 0.102 0.515
Tm 0.366 0.724 0.657
Tm 0.000 0.000 0.000
Tm 0.634 0.276 0.343
Pm 0.426 0.704 0.326
Pm 0.574 0.296 0.674

Record 11
# Tb6Pm3Tm

Crystalline Tb6Pm3Tm at its relaxed geometry (PBE, Alexandria via LeMat-Bulk).

Total magnetization in μB per cell: 0.00
Symmetry: No. 2
Crystal system: triclinic
Distance to the lowest polymorph of the same formula in eV/atom: 0.003
Energy of formation in meV/atom: 150

Unit cell a=6.546 b=9.617 c=6.552 alpha=110.09 beta=119.87 gamma=90.11
Fractional positions:
Tb 0.559 0.685 0.698
Tb 0.013 0.315 0.453
Tb 0.441 0.315 0.302
Tb 0.987 0.685 0.547
Tb 0.652 0.949 0.299
Tb 0.348 0.051 0.701
Pm 0.857 0.313 0.871
Pm 0.143 0.687 0.129
Pm 0.000 0.000 0.000
Tm 0.500 0.500 0.000

Record 12
# Tb7Pm2Tm3

Crystalline Tb7Pm2Tm3 at its relaxed geometry (PBE, Alexandria via LeMat-Bulk).

Total magnetization in μB per cell: 0.00
Symmetry: No. 10
Crystal system: monoclinic
Distance to the lowest polymorph of the same formula in eV/atom: 0.014
Energy of formation in meV/atom: 87

Unit cell a=3.585 b=5.768 c=18.700 alpha=93.80 beta=90.00 gamma=90.00
Fractional positions:
Tb 0.500 0.178 0.177
Tb 0.500 0.259 0.537
Tb 0.500 0.741 0.463
Tb 0.000 0.000 0.000
Tb 0.000 0.676 0.142
Tb 0.500 0.822 0.823
Tb 0.000 0.324 0.858
Tm 0.500 0.500 0.000
Tm 0.000 0.219 0.370
Tm 0.000 0.781 0.630
Pm 0.500 0.704 0.295
Pm 0.500 0.296 0.705